--- P ---
ErCdCuS3 | PBE | relaxed

Properties
SG   Cmcm
Volume   19.90 Å³ per atom

abc: 6.4685 6.4685 10.2381
angles: 90.00 90.00 146.12
Positions (direct):
Er 0.0000 0.0000 0.5000
S 0.3587 0.6413 0.9227
Er 0.0000 0.0000 0.0000
S 0.6413 0.3587 0.0773
S 0.3587 0.6413 0.5773
Cu 0.4786 0.5214 0.7500
Cd 0.2378 0.7622 0.2500
Cu 0.5214 0.4786 0.2500
Cd 0.7622 0.2378 0.7500
S 0.6413 0.3587 0.4227
S 0.0956 0.9044 0.7500
S 0.9044 0.0956 0.2500


--- Q ---
ErCdCuS3 | PBE | relaxed

Properties
SG   P2_1/m
Volume   20.43 Å³ per atom

abc: 7.4133 3.7972 8.8755
angles: 90.00 101.06 90.00
Positions (direct):
Cu 0.4085 0.7500 0.4227
Cd 0.7164 0.2500 0.2765
Cu 0.5915 0.2500 0.5773
S 0.9119 0.7500 0.1474
S 0.2457 0.2500 0.4817
S 0.4338 0.7500 0.1646
Er 0.8158 0.7500 0.8269
S 0.7543 0.7500 0.5183
S 0.5662 0.2500 0.8354
Er 0.1842 0.2500 0.1731
Cd 0.2836 0.7500 0.7235
S 0.0881 0.2500 0.8526


It is P that is the least stable of them.


--- P ---
HfCdGaCu | PBE | relaxed

Properties
SG   F-43m
Volume   17.62 Å³ per atom

abc: 4.6367 4.6367 4.6367
angles: 60.00 60.00 60.00
Positions (direct):
Cd 0.5000 0.5000 0.5000
Hf 0.2500 0.2500 0.2500
Cu 0.7500 0.7500 0.7500
Ga 0.0000 0.0000 0.0000


--- Q ---
HfCdGaCu | PBE | relaxed

Properties
SG   F-43m
Volume   17.60 Å³ per atom

abc: 4.6350 4.6350 4.6350
angles: 60.00 60.00 60.00
Positions (direct):
Hf 0.5000 0.5000 0.5000
Cd 0.2500 0.2500 0.2500
Ga 0.0000 0.0000 0.0000
Cu 0.7500 0.7500 0.7500


It is Q that is the least stable of them.


--- P ---
TaCdGaCu | PBE | relaxed

Properties
SG   F-43m
Volume   16.89 Å³ per atom

abc: 4.5712 4.5712 4.5712
angles: 60.00 60.00 60.00
Positions (direct):
Ta 0.5000 0.5000 0.5000
Cu 0.7500 0.7500 0.7500
Cd 0.2500 0.2500 0.2500
Ga 0.0000 0.0000 0.0000


--- Q ---
TaCdGaCu | PBE | relaxed

Properties
SG   F-43m
Volume   16.83 Å³ per atom

abc: 4.5660 4.5660 4.5660
angles: 60.00 60.00 60.00
Positions (direct):
Cd 0.5000 0.5000 0.5000
Ga 0.0000 0.0000 0.0000
Cu 0.7500 0.7500 0.7500
Ta 0.2500 0.2500 0.2500


It is P that is the least stable of them.


--- P ---
CdCu2GeTe2S2 | PBE | relaxed

Properties
SG   Fmm2
Volume   24.57 Å³ per atom

abc: 7.0423 7.0272 5.8882
angles: 65.39 65.13 49.48
Positions (direct):
Te 0.1288 0.6018 0.3982
S 0.4134 0.8637 0.5866
Ge 0.5159 0.5159 0.4841
S 0.8637 0.4134 0.1363
Cd 0.0174 0.0174 0.9826
Cu 0.7295 0.7295 0.7705
Cu 0.2295 0.2295 0.2705
Te 0.6018 0.1288 0.8712


--- Q ---
CdCu2GeTe2S2 | PBE | relaxed

Properties
SG   C2
Volume   24.43 Å³ per atom

abc: 6.9517 6.9517 5.8944
angles: 113.65 113.65 49.91
Positions (direct):
S 0.3958 0.8679 0.8999
Cu 0.2576 0.2437 0.1996
Te 0.8727 0.4131 0.3744
S 0.1321 0.6042 0.1001
Ge 0.4683 0.5317 0.0000
Cd 0.0303 0.9697 0.5000
Cu 0.7563 0.7424 0.8004
Te 0.5869 0.1273 0.6256


It is P that is the least stable of them.